Entry 1:
AcPu2U: relaxed, PBE-GGA. Values from VASP.

Computed properties:
- uncorrected energy (eV/atom) = -10.406
- formation energy from the elements (eV per atom) = 0.61

Geometry as Quantum ESPRESSO input:
```
&SYSTEM
  ibrav = 0, nat = 4, ntyp = 3
/
ATOMIC_SPECIES
Ac 227.00 Ac.upf
Pu 244.00 Pu.upf
U 238.03 U.upf
CELL_PARAMETERS angstrom
1.8955 1.0944 9.5439
-1.8955 1.0944 9.5439
0.0000 -2.1888 9.5439
ATOMIC_POSITIONS angstrom
Ac 0.0000 0.0000 0.0000
Pu 0.0000 0.0000 3.3731
Pu 0.0000 0.0000 25.2585
U 0.0000 0.0000 14.3158
```

Entry 2:
Y2ZnAgC: relaxed, PBE-GGA. Values from VASP.

Computed properties:
- uncorrected energy (eV/atom) = -5.437
- formation energy from the elements (eV per atom) = -0.18

Geometry as Quantum ESPRESSO input:
```
&SYSTEM
  ibrav = 0, nat = 5, ntyp = 4
/
ATOMIC_SPECIES
Y 88.91 Y.upf
Zn 65.41 Zn.upf
Ag 107.87 Ag.upf
C 12.01 C.upf
CELL_PARAMETERS angstrom
4.9917 0.0000 0.0000
0.0000 4.9917 0.0000
0.0000 0.0000 3.9840
ATOMIC_POSITIONS angstrom
Y 0.0000 2.4959 0.0000
Y 2.4959 0.0000 0.0000
Zn 0.0000 0.0000 1.9920
Ag 2.4959 2.4959 1.9920
C 0.0000 0.0000 0.0000
```

Entry 3:
KInGe: relaxed, PBE-GGA. Values from VASP.

Computed properties:
- uncorrected energy (eV/atom) = -2.857
- formation energy from the elements (eV per atom) = -0.04

Geometry as Quantum ESPRESSO input:
```
&SYSTEM
  ibrav = 0, nat = 6, ntyp = 3
/
ATOMIC_SPECIES
K 39.10 K.upf
In 114.82 In.upf
Ge 72.64 Ge.upf
CELL_PARAMETERS angstrom
6.3444 -2.2206 0.0000
6.3444 2.2206 0.0000
-5.5048 0.0000 6.8940
ATOMIC_POSITIONS angstrom
K 0.0000 0.0000 0.0000
K 3.8583 0.0000 5.1729
In 0.5487 0.0000 3.8715
In 8.6933 0.0000 2.1702
Ge 3.6696 0.0000 1.2048
Ge 5.8404 0.0000 2.5491
```

Entry 4:
TmAl4CuPd2: relaxed, PBE-GGA. Values from VASP.

Computed properties:
- uncorrected energy (eV/atom) = -4.838
- formation energy from the elements (eV per atom) = -0.60

Geometry as Quantum ESPRESSO input:
```
&SYSTEM
  ibrav = 0, nat = 8, ntyp = 4
/
ATOMIC_SPECIES
Tm 168.93 Tm.upf
Al 26.98 Al.upf
Cu 63.55 Cu.upf
Pd 106.42 Pd.upf
CELL_PARAMETERS angstrom
2.1261 1.2275 8.5708
-2.1261 1.2275 8.5708
0.0000 -2.4550 8.5708
ATOMIC_POSITIONS angstrom
Tm 0.0000 0.0000 0.0000
Al 0.0000 0.0000 3.3930
Al 0.0000 0.0000 10.3316
Al 0.0000 0.0000 15.3808
Al 0.0000 0.0000 22.3193
Cu 0.0000 0.0000 12.8562
Pd 0.0000 0.0000 6.1489
Pd 0.0000 0.0000 19.5635
```

The following magnetization values (in μB per atom) correspond, in order, to the records above: 2.42; 0.00; 0.00; 0.00.